# 1
ReRh2Br: optimized geometry, PBE.

It has space group Pm (No. 6), with a = 2.8608 Å, b = 4.4618 Å, c = 4.9712 Å, α = 90.00°, β = 90.68° and γ = 90.00°. The distinct sites, in fractional coordinates, are Re at (0.0000, 0.0000, 0.0000), Rh at (0.4894, 0.0000, 0.4680), Rh at (0.5048, 0.5000, 0.1400) and Br at (0.7540, 0.5000, 0.6639).

The uncorrected formation energy is 0.66 eV per atom. As for the spin magnetization: 0.00 μB/f.u.


# 2
NpAlZnOs: optimized geometry, PBE.

It has space group F-43m (No. 216), with a = 6.5497 Å, b = 6.5497 Å, c = 6.5497 Å, α = 90.00°, β = 90.00° and γ = 90.00°. The distinct sites, in fractional coordinates, are Np at (0.0000, 0.0000, 0.0000), Al at (0.0000, 0.0000, 0.5000), Zn at (0.2500, 0.2500, 0.2500) and Os at (0.2500, 0.2500, 0.7500).

Its calculated formation energy is 110 meV/atom. As for the spin magnetization: 3.19 μB/f.u.


# 3
Sc2CdOs: optimized geometry, PBE.

It has space group I-42d (No. 122), with a = 7.6339 Å, b = 7.6339 Å, c = 5.8265 Å, α = 90.00°, β = 90.00° and γ = 90.00°. The distinct sites, in fractional coordinates, are Sc at (0.2008, 0.2500, 0.1250), Cd at (0.0000, 0.0000, 0.5000) and Os at (0.0000, 0.0000, 0.0000).

Its calculated formation energy is 112 meV/atom. As for the spin magnetization: 0.00 μB/f.u.


What is the spin magnetization in the third record?
0.00 μB/f.u.


What is the spin magnetization in the first record?
0.00 μB/f.u.


What is the spin magnetization in the second record?
3.19 μB/f.u.